*a*
The following is a DFT calculation (GGA-PBE) of LaTmHgAu after structural relaxation.

Cell: 3.663 3.663 7.704 Å, 90.00 90.00 90.00°
Positions (direct):
1 La 0.000 0.000 0.000
2 Tm 0.000 0.000 0.475
3 Hg 0.500 0.500 0.716
4 Au 0.500 0.500 0.277

Results
**V**: 103.4 Å³/f.u.
**SG**: No. 99

***

*b*
The following is a DFT calculation (GGA-PBE) of LaTmHgAu after structural relaxation.

Cell: 5.287 5.287 5.287 Å, 60.00 60.00 60.00°
Positions (direct):
1 La 0.000 0.000 0.000
2 Tm 0.500 0.500 0.500
3 Hg 0.250 0.250 0.250
4 Au 0.750 0.750 0.750

Results
**V**: 104.5 Å³/f.u.
**SG**: No. 216

***

Out of the structures above, which one is the least stable? Solution: *b*.